## ZrAl2Ni4 (GGA-PBEsol)

Data for a geometry-optimized ZrAl2Ni4 structure.

## Properties
The energy of formation from the pure elements is -3.7 eV/f.u. For the total moment, the calculation gives 0.000 μB per atom. Its space group is No. 11.

Cell lengths 4.0663, 5.0972, 9.0629 Å; angles 104.54, 90.00, 90.00 degrees
With the nearest neighbours (Å) after each atom.
Positions (direct):
Ni  0.2500  0.3970  0.8592  1 Ni 2.30, 4 Al 2.37-2.55
Ni  0.7500  0.0678  0.1871  4 Ni 2.30-2.54, 3 Al 2.33-2.57
Ni  0.2500  0.6871  0.5469  2 Ni 2.42-2.68, 4 Al 2.46-2.58
Ni  0.2500  0.9322  0.8129  4 Ni 2.30-2.54, 3 Al 2.33-2.57
Ni  0.7500  0.3129  0.4531  2 Ni 2.42-2.68, 4 Al 2.46-2.58
Ni  0.7500  0.0690  0.6824  4 Al 2.38-2.42, 2 Ni 2.54, 2 Zr 2.59-2.66
Ni  0.2500  0.9310  0.3176  4 Al 2.38-2.42, 2 Ni 2.54, 2 Zr 2.59-2.66
Ni  0.7500  0.6030  0.1408  1 Ni 2.30, 4 Al 2.37-2.55
Zr  0.7500  0.6072  0.7532  9 Ni 2.59-2.86
Zr  0.2500  0.3928  0.2468  9 Ni 2.59-2.86
Al  0.7500  0.1847  0.9541  7 Ni 2.33-2.57
Al  0.2500  0.8153  0.0459  7 Ni 2.33-2.57
Al  0.2500  0.2053  0.5780  8 Ni 2.42-2.58
Al  0.7500  0.7947  0.4220  8 Ni 2.42-2.58